# 1
Compound: AlB4W
Source: the Open Quantum Materials Database
Functional: GGA-PBE
Structure: relaxed

Unit cell a=4.508 b=4.508 c=4.508 alpha=141.50 beta=109.97 gamma=82.87
Fractional positions:
Al  0.000  0.000  0.000
B  0.079  0.743  0.336
B  0.407  0.743  0.664
B  0.593  0.257  0.336
B  0.921  0.257  0.664
W  0.500  0.500  0.000

The excess energy over the best structure of this formula in the dataset comes out at 0.000 eV/atom.



# 2
Compound: Nd3Si2S8Br
Source: the Open Quantum Materials Database
Functional: GGA-PBE
Structure: relaxed

Unit cell a=8.776 b=8.776 c=10.930 alpha=97.06 beta=97.06 gamma=52.32
Fractional positions:
Nd  0.113  0.887  0.750
Nd  0.180  0.426  0.316
Nd  0.426  0.180  0.816
Nd  0.574  0.820  0.184
Nd  0.820  0.574  0.684
Nd  0.887  0.113  0.250
Si  0.125  0.194  0.029
Si  0.194  0.125  0.529
Si  0.806  0.875  0.471
Si  0.875  0.806  0.971
S  0.053  0.243  0.838
S  0.092  0.776  0.455
S  0.105  0.605  0.855
S  0.212  0.355  0.586
S  0.224  0.908  0.045
S  0.243  0.053  0.338
S  0.355  0.212  0.086
S  0.395  0.895  0.645
S  0.605  0.105  0.355
S  0.645  0.788  0.914
S  0.757  0.947  0.662
S  0.776  0.092  0.955
S  0.788  0.645  0.414
S  0.895  0.395  0.145
S  0.908  0.224  0.545
S  0.947  0.757  0.162
Br  0.494  0.506  0.250
Br  0.506  0.494  0.750

For the total energy, the calculation gives -161.28 eV per cell.



# 3
Compound: DyErBC2
Source: the Open Quantum Materials Database
Functional: GGA-PBE
Structure: relaxed

Unit cell a=3.597 b=3.597 c=6.007 alpha=106.88 beta=106.88 gamma=89.99
Fractional positions:
Dy  0.000  0.000  0.000
Er  0.303  0.303  0.594
B  0.651  0.651  0.295
C  0.512  0.512  0.023
C  0.790  0.790  0.568

For the total energy, the calculation gives -36.61 eV per cell.



# 4
Compound: InFeCl3
Source: the Open Quantum Materials Database
Functional: GGA-PBE
Structure: relaxed

Unit cell a=7.011 b=7.011 c=5.802 alpha=94.15 beta=94.15 gamma=60.10
Fractional positions:
In  0.164  0.164  0.241
In  0.836  0.836  0.759
Fe  0.500  0.500  0.000
Fe  0.500  0.500  0.500
Cl  0.172  0.662  0.233
Cl  0.336  0.336  0.717
Cl  0.338  0.828  0.767
Cl  0.662  0.172  0.233
Cl  0.664  0.664  0.283
Cl  0.828  0.338  0.767

For the total energy, the calculation gives -40.69 eV per cell.